[1]
{
  "formula": "NaAuSe2N",
  "functional": "GGA-PBE",
  "state": "relaxed",
  "polymorph_energy_mev_per_atom": 811,
  "sg": "No. 123",
  "e_tot_ev_per_cell": -12.81,
  "vol_a3_per_cell": 114.6,
  "total_magnetization_mub_per_cell": 3.39,
  "n_ef_per_ev_fu": 4.440,
  "formation_energy_uncorrected_mev_per_atom": 1415,
  "cell": [[5.190, 0.000, 0.000], [0.000, 5.190, 0.000], [0.000, 0.000, 4.255]],
  "species": ["Na", "Au", "Se", "Se", "N"],
  "frac_coords": [[0.000, 0.000, 0.000], [0.500, 0.500, 0.500], [0.000, 0.500, 0.000], [0.500, 0.000, 0.000], [0.000, 0.000, 0.500]]
}

***

[2]
{
  "formula": "NaAuSe2N",
  "functional": "GGA-PBE",
  "state": "relaxed",
  "polymorph_energy_mev_per_atom": 0,
  "sg": "No. 123",
  "e_tot_ev_per_cell": -16.87,
  "vol_a3_per_cell": 114.2,
  "total_magnetization_mub_per_cell": 0.00,
  "n_ef_per_ev_fu": 4.971,
  "formation_energy_uncorrected_mev_per_atom": 605,
  "cell": [[5.517, 0.000, 0.000], [0.000, 5.517, 0.000], [0.000, 0.000, 3.752]],
  "species": ["Na", "Au", "Se", "Se", "N"],
  "frac_coords": [[0.000, 0.000, 0.000], [0.500, 0.500, 0.500], [0.000, 0.500, 0.500], [0.500, 0.000, 0.500], [0.500, 0.500, 0.000]]
}

***

[3]
{
  "formula": "Na2SnAuN",
  "functional": "GGA-PBE",
  "state": "relaxed",
  "sg": "No. 123",
  "e_tot_ev_per_cell": -16.08,
  "vol_a3_per_cell": 136.8,
  "total_magnetization_mub_per_cell": 0.00,
  "n_ef_per_ev_fu": 3.909,
  "formation_energy_uncorrected_mev_per_atom": 433,
  "cell": [[6.068, 0.000, 0.000], [0.000, 6.068, 0.000], [0.000, 0.000, 3.716]],
  "species": ["Na", "Na", "Sn", "Au", "N"],
  "frac_coords": [[0.000, 0.500, 0.000], [0.500, 0.000, 0.000], [0.000, 0.000, 0.500], [0.500, 0.500, 0.000], [0.500, 0.500, 0.500]]
}

***

[4]
{
  "formula": "NaSn2AuN",
  "functional": "GGA-PBE",
  "state": "relaxed",
  "sg": "No. 123",
  "e_tot_ev_per_cell": -15.21,
  "vol_a3_per_cell": 142.9,
  "total_magnetization_mub_per_cell": 0.00,
  "n_ef_per_ev_fu": 4.432,
  "formation_energy_uncorrected_mev_per_atom": 1144,
  "cell": [[5.241, 0.000, 0.000], [0.000, 5.241, 0.000], [0.000, 0.000, 5.203]],
  "species": ["Na", "Sn", "Sn", "Au", "N"],
  "frac_coords": [[0.000, 0.000, 0.000], [0.000, 0.500, 0.500], [0.500, 0.000, 0.500], [0.000, 0.000, 0.500], [0.500, 0.500, 0.000]]
}

***

Question: What is the formula in the first record?
Answer: NaAuSe2N